1.
# Pr2InGaPd4 PBE-GGA relaxed
data_Pr2InGaPd4
_chemical_formula_sum 'Pr2 In1 Ga1 Pd4'
_cell_length_a 4.5738
_cell_length_b 4.5738
_cell_length_c 9.3864
_cell_angle_alpha 90.00
_cell_angle_beta 90.00
_cell_angle_gamma 120.00
_space_group_name_H-M_alt 'P -3 m 1'
_space_group_IT_number 164
_space_group_name_Hall '-P 3 2"'
loop_
_atom_site_label
_atom_site_type_symbol
_atom_site_fract_x
_atom_site_fract_y
_atom_site_fract_z
_atom_site_occupancy
Pr1 Pr 0.3333 0.6667 0.2546 1
In1 In 0.0000 0.0000 0.0000 1
Ga1 Ga 0.0000 0.0000 0.5000 1
Pd1 Pd 0.3333 0.6667 0.5738 1
Pd2 Pd 0.3333 0.6667 0.9180 1
# - Total DFT energy (no corrections): -5.29 eV/atom
# - M_tot: 0.000 μB per atom
# - Crystal system: trigonal

***

2.
# Ta2BiPt PBE-GGA relaxed
data_Ta2BiPt
_chemical_formula_sum 'Ta8 Bi4 Pt4'
_cell_length_a 6.792
_cell_length_b 6.792
_cell_length_c 6.792
_cell_angle_alpha 90.00
_cell_angle_beta 90.00
_cell_angle_gamma 90.00
_space_group_name_H-M_alt 'F -4 3 m'
_space_group_IT_number 216
_space_group_name_Hall 'F -4 2 3'
loop_
_atom_site_label
_atom_site_type_symbol
_atom_site_fract_x
_atom_site_fract_y
_atom_site_fract_z
_atom_site_occupancy
Ta1 Ta 0.000 0.000 0.000 1
Ta2 Ta 0.250 0.250 0.250 1
Bi1 Bi 0.000 0.000 0.500 1
Pt1 Pt 0.250 0.250 0.750 1
# - Total DFT energy (no corrections): -8.04 eV/atom
# - M_tot: 0.001 μB per atom
# - Crystal system: cubic

***

3.
# CsCu5Se3 PBE-GGA relaxed
data_CsCu5Se3
_chemical_formula_sum 'Cs2 Cu10 Se6'
_cell_length_a 9.986
_cell_length_b 4.081
_cell_length_c 9.000
_cell_angle_alpha 90.00
_cell_angle_beta 90.00
_cell_angle_gamma 90.00
_space_group_name_H-M_alt 'P m m a'
_space_group_IT_number 51
_space_group_name_Hall '-P 2a 2a'
loop_
_atom_site_label
_atom_site_type_symbol
_atom_site_fract_x
_atom_site_fract_y
_atom_site_fract_z
_atom_site_occupancy
Cs1 Cs 0.250 0.000 0.045 1
Cu1 Cu 0.075 0.000 0.634 1
Cu2 Cu 0.108 0.500 0.431 1
Cu3 Cu 0.250 0.500 0.686 1
Se1 Se 0.031 0.500 0.789 1
Se2 Se 0.250 0.000 0.440 1
# - Total DFT energy (no corrections): -3.67 eV/atom
# - Crystal system: orthorhombic

***

4.
# ScFeMoAs PBE-GGA relaxed
data_ScFeMoAs
_chemical_formula_sum 'Sc4 Fe4 Mo4 As4'
_cell_length_a 6.180
_cell_length_b 6.180
_cell_length_c 6.180
_cell_angle_alpha 90.00
_cell_angle_beta 90.00
_cell_angle_gamma 90.00
_space_group_name_H-M_alt 'F -4 3 m'
_space_group_IT_number 216
_space_group_name_Hall 'F -4 2 3'
loop_
_atom_site_label
_atom_site_type_symbol
_atom_site_fract_x
_atom_site_fract_y
_atom_site_fract_z
_atom_site_occupancy
Sc1 Sc 0.000 0.000 0.000 1
Fe1 Fe 0.250 0.250 0.750 1
Mo1 Mo 0.250 0.250 0.250 1
As1 As 0.000 0.000 0.500 1
# - Total DFT energy (no corrections): -7.47 eV/atom
# - M_tot: 0.456 μB per atom
# - Crystal system: cubic
# - Distance to the lowest polymorph of the same formula: 0 meV per atom

***

5.
# YAs2Ir PBE-GGA relaxed
data_YAs2Ir
_chemical_formula_sum 'Y4 As8 Ir4'
_cell_length_a 6.753
_cell_length_b 6.753
_cell_length_c 6.753
_cell_angle_alpha 90.00
_cell_angle_beta 90.00
_cell_angle_gamma 90.00
_space_group_name_H-M_alt 'F -4 3 m'
_space_group_IT_number 216
_space_group_name_Hall 'F -4 2 3'
loop_
_atom_site_label
_atom_site_type_symbol
_atom_site_fract_x
_atom_site_fract_y
_atom_site_fract_z
_atom_site_occupancy
Y1 Y 0.000 0.000 0.000 1
As1 As 0.000 0.000 0.500 1
As2 As 0.250 0.250 0.750 1
Ir1 Ir 0.250 0.250 0.250 1
# - Total DFT energy (no corrections): -6.36 eV/atom
# - M_tot: 0.002 μB per atom
# - Crystal system: cubic

***

6.
# Ni11W2 PBE-GGA relaxed
data_Ni11W2
_chemical_formula_sum 'Ni33 W6'
_cell_length_a 4.6338
_cell_length_b 4.6338
_cell_length_c 24.7127
_cell_angle_alpha 90.00
_cell_angle_beta 90.00
_cell_angle_gamma 120.00
_space_group_name_H-M_alt 'R -3 m'
_space_group_IT_number 166
_space_group_name_Hall '-R 3 2"'
loop_
_atom_site_label
_atom_site_type_symbol
_atom_site_fract_x
_atom_site_fract_y
_atom_site_fract_z
_atom_site_occupancy
Ni1 Ni 0.0000 0.0000 0.0000 1
Ni2 Ni 0.0000 0.0000 0.3511 1
Ni3 Ni 0.0000 0.0000 0.4518 1
Ni4 Ni 0.0032 0.5016 0.4102 1
W1 W 0.0000 0.0000 0.1654 1
# - Total DFT energy (no corrections): -6.59 eV/atom
# - M_tot: 0.112 μB per atom
# - Crystal system: trigonal
# - Distance to the lowest polymorph of the same formula: 46 meV per atom

***

7.
# K3Zr2As3 PBE-GGA relaxed
data_K3Zr2As3
_chemical_formula_sum 'K6 Zr4 As6'
_cell_length_a 7.608
_cell_length_b 6.687
_cell_length_c 10.946
_cell_angle_alpha 90.00
_cell_angle_beta 110.15
_cell_angle_gamma 90.00
_space_group_name_H-M_alt 'P 1 21/m 1'
_space_group_IT_number 11
_space_group_name_Hall '-P 2yb'
loop_
_atom_site_label
_atom_site_type_symbol
_atom_site_fract_x
_atom_site_fract_y
_atom_site_fract_z
_atom_site_occupancy
K1 K 0.014 0.250 0.139 1
K2 K 0.055 0.750 0.423 1
K3 K 0.369 0.250 0.929 1
Zr1 Zr 0.476 0.501 0.348 1
As1 As 0.244 0.750 0.177 1
As2 As 0.307 0.250 0.466 1
As3 As 0.351 0.750 0.760 1
# - Total DFT energy (no corrections): -4.96 eV/atom
# - M_tot: 0.001 μB per atom
# - Crystal system: monoclinic

***

8.
# GdZrCSe PBE-GGA relaxed
data_GdZrCSe
_chemical_formula_sum 'Gd2 Zr2 C2 Se2'
_cell_length_a 3.6045
_cell_length_b 3.6045
_cell_length_c 13.1860
_cell_angle_alpha 90.00
_cell_angle_beta 90.00
_cell_angle_gamma 120.00
_space_group_name_H-M_alt 'P 63 m c'
_space_group_IT_number 186
_space_group_name_Hall 'P 6c -2c'
loop_
_atom_site_label
_atom_site_type_symbol
_atom_site_fract_x
_atom_site_fract_y
_atom_site_fract_z
_atom_site_occupancy
Gd1 Gd 0.3333 0.6667 0.0000 1
Zr1 Zr 0.3333 0.6667 0.3026 1
C1 C 0.0000 0.0000 0.3890 1
Se1 Se 0.3333 0.6667 0.6598 1
# - Total DFT energy (no corrections): -7.61 eV/atom
# - M_tot: 0.001 μB per atom
# - Crystal system: hexagonal
# - Distance to the lowest polymorph of the same formula: 0 meV per atom

***

9.
# TcNiBiMo PBE-GGA relaxed
data_TcNiBiMo
_chemical_formula_sum 'Tc4 Ni4 Bi4 Mo4'
_cell_length_a 6.403
_cell_length_b 6.403
_cell_length_c 6.403
_cell_angle_alpha 90.00
_cell_angle_beta 90.00
_cell_angle_gamma 90.00
_space_group_name_H-M_alt 'F -4 3 m'
_space_group_IT_number 216
_space_group_name_Hall 'F -4 2 3'
loop_
_atom_site_label
_atom_site_type_symbol
_atom_site_fract_x
_atom_site_fract_y
_atom_site_fract_z
_atom_site_occupancy
Tc1 Tc 0.000 0.000 0.000 1
Ni1 Ni 0.000 0.000 0.500 1
Bi1 Bi 0.250 0.250 0.250 1
Mo1 Mo 0.250 0.250 0.750 1
# - Total DFT energy (no corrections): -7.16 eV/atom
# - M_tot: 0.022 μB per atom
# - Crystal system: cubic
# - Distance to the lowest polymorph of the same formula: 0 meV per atom

***

10.
# Cd7P4H2Se2O22 PBE-GGA relaxed
data_Cd7P4H2Se2O22
_chemical_formula_sum 'Cd14 P8 H4 Se4 O44'
_cell_length_a 14.118
_cell_length_b 6.823
_cell_length_c 10.162
_cell_angle_alpha 90.00
_cell_angle_beta 103.61
_cell_angle_gamma 90.00
_space_group_name_H-M_alt 'P 1 21/c 1'
_space_group_IT_number 14
_space_group_name_Hall '-P 2ybc'
loop_
_atom_site_label
_atom_site_type_symbol
_atom_site_fract_x
_atom_site_fract_y
_atom_site_fract_z
_atom_site_occupancy
Cd1 Cd 0.000 0.000 0.000 1
Cd2 Cd 0.247 0.024 0.156 1
Cd3 Cd 0.318 0.513 0.321 1
Cd4 Cd 0.422 0.150 0.553 1
P1 P 0.106 0.697 0.268 1
P2 P 0.435 0.663 0.628 1
H1 H 0.046 0.103 0.683 1
Se1 Se 0.187 0.110 0.462 1
O1 O 0.018 0.718 0.331 1
O2 O 0.093 0.510 0.173 1
O3 O 0.111 0.629 0.672 1
O4 O 0.137 0.165 0.975 1
O5 O 0.203 0.688 0.376 1
O6 O 0.272 0.166 0.364 1
O7 O 0.276 0.128 0.614 1
O8 O 0.361 0.716 0.713 1
O9 O 0.391 0.023 0.045 1
O10 O 0.443 0.674 0.024 1
O11 O 0.463 0.119 0.782 1
# - Total DFT energy (no corrections): -5.63 eV/atom
# - Crystal system: monoclinic

***

11.
# LuRe2Mo PBE-GGA relaxed
data_LuRe2Mo
_chemical_formula_sum 'Lu4 Re8 Mo4'
_cell_length_a 6.421
_cell_length_b 6.421
_cell_length_c 6.421
_cell_angle_alpha 90.00
_cell_angle_beta 90.00
_cell_angle_gamma 90.00
_space_group_name_H-M_alt 'F -4 3 m'
_space_group_IT_number 216
_space_group_name_Hall 'F -4 2 3'
loop_
_atom_site_label
_atom_site_type_symbol
_atom_site_fract_x
_atom_site_fract_y
_atom_site_fract_z
_atom_site_occupancy
Lu1 Lu 0.000 0.000 0.000 1
Re1 Re 0.000 0.000 0.500 1
Re2 Re 0.250 0.250 0.250 1
Mo1 Mo 0.250 0.250 0.750 1
# - Total DFT energy (no corrections): -9.93 eV/atom
# - M_tot: 0.000 μB per atom
# - Crystal system: cubic